P | VASP calculation (PBE with a Hubbard U) on crystalline Ti2CoO2 at its relaxed geometry. Values from VASP.

Geometry as Quantum ESPRESSO input:
```
&SYSTEM
  ibrav = 0, nat = 5, ntyp = 3
/
ATOMIC_SPECIES
Ti 47.87 Ti.upf
Co 58.93 Co.upf
O 16.00 O.upf
ATOMIC_POSITIONS angstrom
Ti 2.0623 0.0000 1.6936
Ti 0.0000 2.0623 1.6936
Co 0.0000 0.0000 0.0000
O 0.0000 0.0000 1.8350
O 0.0000 0.0000 4.9393
CELL_PARAMETERS angstrom
-2.0623 2.0623 3.3872
2.0623 -2.0623 3.3872
2.0623 2.0623 -3.3872
```



Q | VASP calculation (PBE with a Hubbard U) on crystalline Ti2CoO2 at its relaxed geometry. Values from VASP.

Geometry as Quantum ESPRESSO input:
```
&SYSTEM
  ibrav = 0, nat = 10, ntyp = 3
/
ATOMIC_SPECIES
Ti 47.87 Ti.upf
Co 58.93 Co.upf
O 16.00 O.upf
ATOMIC_POSITIONS angstrom
Ti 1.0305 2.0224 0.0000
Ti 2.0224 5.0754 0.0000
Ti 4.0835 1.0305 0.0000
Ti 5.0754 4.0835 0.0000
Co 0.0000 0.0000 1.3247
Co 3.0530 3.0530 1.3247
O 0.8393 3.8923 1.3247
O 2.2136 0.8393 1.3247
O 3.8923 5.2666 1.3247
O 5.2666 2.2136 1.3247
CELL_PARAMETERS angstrom
6.1059 0.0000 0.0000
0.0000 6.1059 0.0000
0.0000 0.0000 2.6494
```



Which of them is least stable? Easy: Q.



P | VASP calculation (PBE with a Hubbard U) on crystalline TiCo3O8 at its relaxed geometry. Values from VASP.

Geometry as Quantum ESPRESSO input:
```
&SYSTEM
  ibrav = 0, nat = 12, ntyp = 3
/
ATOMIC_SPECIES
Ti 47.87 Ti.upf
Co 58.93 Co.upf
O 16.00 O.upf
ATOMIC_POSITIONS angstrom
Ti 0.0000 0.0000 0.0000
Co -1.4316 -0.8266 5.2711
Co 1.4316 -0.8266 5.2711
Co 0.0000 1.6531 5.2711
O 0.0000 -1.6193 6.1650
O -1.4024 0.8097 6.1650
O 0.0000 0.0000 4.3109
O -1.3607 -0.7856 9.2594
O 1.4024 0.8097 6.1650
O 0.0000 0.0000 11.2155
O 1.3607 -0.7856 9.2594
O 0.0000 1.5712 9.2594
CELL_PARAMETERS angstrom
2.8752 1.6600 4.9957
-2.8752 1.6600 4.9957
0.0000 -3.3200 4.9957
```



Q | VASP calculation (PBE with a Hubbard U) on crystalline TiCo3O8 at its relaxed geometry. Values from VASP.

Geometry as Quantum ESPRESSO input:
```
&SYSTEM
  ibrav = 0, nat = 24, ntyp = 3
/
ATOMIC_SPECIES
Ti 47.87 Ti.upf
Co 58.93 Co.upf
O 16.00 O.upf
ATOMIC_POSITIONS angstrom
Ti 0.0000 3.2556 0.0000
Ti 2.8194 1.6278 4.4703
Co 0.0000 1.6427 6.4053
Co -1.3968 4.0621 6.4053
Co 1.4226 0.8213 1.9350
Co 1.3969 4.0621 6.4053
Co 4.2163 0.8213 1.9350
Co 2.8194 3.2408 1.9350
O 0.0000 0.0000 2.8922
O 0.0000 0.0000 7.3625
O -1.2497 2.5341 7.4551
O 0.0000 1.6009 0.9554
O -1.4330 4.0830 0.9554
O 1.3864 0.8005 5.4257
O 0.0000 3.2556 5.4194
O 1.2497 2.5341 7.4551
O 0.0000 4.6987 7.4551
O 2.8194 0.1847 2.9848
O 1.5697 2.3493 2.9848
O 2.8194 1.6278 0.9491
O 1.4330 4.0830 0.9554
O 4.2525 0.8005 5.4257
O 2.8194 3.2825 5.4257
O 4.0692 2.3493 2.9848
CELL_PARAMETERS angstrom
5.6389 0.0000 0.0000
-2.8194 4.8834 0.0000
0.0000 0.0000 8.9406
```



Which of them is least stable? Easy: P.



P | VASP calculation (PBE with a Hubbard U) on crystalline TlCoO2 at its relaxed geometry. Values from VASP.

Geometry as Quantum ESPRESSO input:
```
&SYSTEM
  ibrav = 0, nat = 8, ntyp = 3
/
ATOMIC_SPECIES
Tl 204.38 Tl.upf
Co 58.93 Co.upf
O 16.00 O.upf
ATOMIC_POSITIONS angstrom
Tl 0.0000 0.0000 0.0000
Tl 0.0000 2.7958 2.1557
Co 2.7958 0.0000 2.1557
Co 0.0000 0.0000 4.3115
O 1.3979 -0.6588 3.2336
O 2.1370 1.3979 1.0779
O 1.3979 3.4546 -1.0779
O 0.6588 1.3979 5.3893
CELL_PARAMETERS angstrom
-2.7958 2.7958 4.3115
2.7958 -2.7958 4.3115
2.7958 2.7958 -4.3115
```



Q | VASP calculation (PBE with a Hubbard U) on crystalline TlCoO2 at its relaxed geometry. Values from VASP.

Geometry as Quantum ESPRESSO input:
```
&SYSTEM
  ibrav = 0, nat = 4, ntyp = 3
/
ATOMIC_SPECIES
Tl 204.38 Tl.upf
Co 58.93 Co.upf
O 16.00 O.upf
ATOMIC_POSITIONS angstrom
Tl 0.0000 0.0000 0.0000
Co 0.0000 0.0000 8.9808
O 0.0000 0.0000 7.1607
O 0.0000 0.0000 10.8010
CELL_PARAMETERS angstrom
1.7454 1.0077 5.9872
-1.7454 1.0077 5.9872
0.0000 -2.0155 5.9872
```



R | VASP calculation (PBE with a Hubbard U) on crystalline TlCoO2 at its relaxed geometry. Values from VASP.

Geometry as Quantum ESPRESSO input:
```
&SYSTEM
  ibrav = 0, nat = 4, ntyp = 3
/
ATOMIC_SPECIES
Tl 204.38 Tl.upf
Co 58.93 Co.upf
O 16.00 O.upf
ATOMIC_POSITIONS angstrom
Tl 0.0000 0.0000 0.0000
Co 2.9077 2.9077 2.9077
O 1.4539 1.4539 1.4539
O 4.3616 4.3616 4.3616
CELL_PARAMETERS angstrom
0.0000 2.9077 2.9077
2.9077 0.0000 2.9077
2.9077 2.9077 0.0000
```



Which of them is least stable? Easy: R.



P | VASP calculation (PBE with a Hubbard U) on crystalline TlCoO at its relaxed geometry. Values from VASP.

Geometry as Quantum ESPRESSO input:
```
&SYSTEM
  ibrav = 0, nat = 3, ntyp = 3
/
ATOMIC_SPECIES
Tl 204.38 Tl.upf
Co 58.93 Co.upf
O 16.00 O.upf
ATOMIC_POSITIONS angstrom
Tl 0.0000 0.0000 0.0000
Co 0.0000 0.0000 3.0085
O 0.0000 0.0000 8.3433
CELL_PARAMETERS angstrom
1.6731 0.9660 5.6150
-1.6731 0.9660 5.6150
0.0000 -1.9319 5.6150
```



Q | VASP calculation (PBE with a Hubbard U) on crystalline TlCoO at its relaxed geometry. Values from VASP.

Geometry as Quantum ESPRESSO input:
```
&SYSTEM
  ibrav = 0, nat = 3, ntyp = 3
/
ATOMIC_SPECIES
Tl 204.38 Tl.upf
Co 58.93 Co.upf
O 16.00 O.upf
ATOMIC_POSITIONS angstrom
Tl 0.0000 0.0000 0.0000
Co 1.9248 0.0000 3.0146
O -0.0044 0.0000 2.5585
CELL_PARAMETERS angstrom
2.8941 -1.6697 0.0000
2.8941 1.6697 0.0000
-1.9260 0.0000 5.5255
```



Which of them is least stable? Easy: P.



P | VASP calculation (PBE with a Hubbard U) on crystalline TlCoO at its relaxed geometry. Values from VASP.

Geometry as Quantum ESPRESSO input:
```
&SYSTEM
  ibrav = 0, nat = 6, ntyp = 3
/
ATOMIC_SPECIES
Tl 204.38 Tl.upf
Co 58.93 Co.upf
O 16.00 O.upf
ATOMIC_POSITIONS angstrom
Tl 0.6912 1.1894 1.1973
Tl 3.7783 3.9247 6.1698
Co 0.7198 2.5571 3.6836
Co 2.2346 0.2320 3.6836
O 2.2329 1.7698 4.6525
O 2.2366 3.3443 2.7146
CELL_PARAMETERS angstrom
3.0300 0.0000 0.0000
0.0003 4.6501 0.0000
1.4392 0.4640 7.3671
```



Q | VASP calculation (PBE with a Hubbard U) on crystalline TlCoO at its relaxed geometry. Values from VASP.

Geometry as Quantum ESPRESSO input:
```
&SYSTEM
  ibrav = 0, nat = 6, ntyp = 3
/
ATOMIC_SPECIES
Tl 204.38 Tl.upf
Co 58.93 Co.upf
O 16.00 O.upf
ATOMIC_POSITIONS angstrom
Tl 0.0000 0.0000 0.0000
Tl -0.0063 0.3490 4.9899
Co 0.0018 3.4278 3.0494
Co 1.7952 1.3912 2.7264
O 1.7937 -0.1128 1.6984
O 1.7971 3.0028 3.6082
CELL_PARAMETERS angstrom
3.5898 0.0000 0.0000
-1.7864 4.9518 0.0000
-0.0830 -2.2489 7.3177
```



R | VASP calculation (PBE with a Hubbard U) on crystalline TlCoO at its relaxed geometry. Values from VASP.

Geometry as Quantum ESPRESSO input:
```
&SYSTEM
  ibrav = 0, nat = 6, ntyp = 3
/
ATOMIC_SPECIES
Tl 204.38 Tl.upf
Co 58.93 Co.upf
O 16.00 O.upf
ATOMIC_POSITIONS angstrom
Tl 2.3440 3.7302 4.0901
Tl 2.3440 -3.7302 1.3634
Co 2.3440 0.0000 0.0000
Co 2.3440 0.0000 2.7268
O 2.3440 1.1864 4.0901
O 2.3440 -1.1864 1.3634
CELL_PARAMETERS angstrom
2.3440 -5.2504 0.0000
2.3440 5.2504 0.0000
0.0000 0.0000 5.4535
```



Which of them is least stable? Easy: P.